[1]
Compound: ZrCd4Pt
Source: Alexandria via LeMat-Bulk
Functional: SCAN
Structure: PBEsol geometry

abc: 5.4699 5.4699 5.4699
angles: 60.00 60.00 60.00
Closest atoms and distances in Å follow each position.
Positions (direct):
Zr  0.0000  0.0000  0.0000  12 Cd 3.21, 4 Pt 3.35
Cd  0.1253  0.6249  0.6249  6 Cd 2.73-2.74
Cd  0.6249  0.1253  0.6249  6 Cd 2.73-2.74
Cd  0.6249  0.6249  0.1253  6 Cd 2.73-2.74
Cd  0.6249  0.6249  0.6249  6 Cd 2.73-2.74
Pt  0.2500  0.2500  0.2500  12 Cd 3.21, 4 Zr 3.35

Values from the calculation:
space group	No. 216
ΔH_f (0 K)	0.057	eV/atom

---

[2]
Compound: BaHgTe2
Source: Alexandria via LeMat-Bulk
Functional: SCAN
Structure: PBEsol geometry

abc: 5.3199 5.3199 4.5954
angles: 90.00 90.00 102.99
Closest atoms and distances in Å follow each position.
Positions (direct):
Ba  0.0000  0.0000  0.0000  2 Hg 3.31, 8 Te 3.51
Hg  0.5000  0.5000  0.0000  2 Ba 3.31, 8 Te 3.51
Te  0.0000  0.5000  0.5000  2 Te 3.31, 4 Hg 3.51, 4 Ba 3.51
Te  0.5000  0.0000  0.5000  2 Te 3.31, 4 Ba 3.51, 4 Hg 3.51

Values from the calculation:
space group	No. 65
calculated total energy	-46.4059	eV per atom

---

[3]
Compound: Cs2RbNF6
Source: Alexandria via LeMat-Bulk
Functional: SCAN
Structure: PBEsol geometry

abc: 6.2895 6.2895 6.2895
angles: 60.00 60.00 60.00
Closest atoms and distances in Å follow each position.
Positions (direct):
Cs  0.2500  0.2500  0.2500  12 F 3.17
Cs  0.7500  0.7500  0.7500  12 F 3.17
Rb  0.0000  0.0000  0.0000  6 F 2.63
N  0.5000  0.5000  0.5000  6 F 1.82
F  0.2956  0.2956  0.7044  1 N 1.82
F  0.2956  0.7044  0.2956  1 N 1.82
F  0.2956  0.7044  0.7044  1 N 1.82
F  0.7044  0.2956  0.2956  1 N 1.82
F  0.7044  0.2956  0.7044  1 N 1.82
F  0.7044  0.7044  0.2956  1 N 1.82

Values from the calculation:
space group	No. 225
calculated total energy	-14.3764	eV per atom

---

[4]
Compound: CdIF2
Source: Alexandria via LeMat-Bulk
Functional: SCAN
Structure: PBEsol geometry

abc: 5.9914 5.9914 5.9914
angles: 107.82 107.82 112.83
Closest atoms and distances in Å follow each position.
Positions (direct):
Cd  0.0000  0.0000  0.0000  4 F 2.16
Cd  0.7500  0.2500  0.5000  4 F 2.16
I  0.2500  0.7500  0.5000  8 F 3.18-3.26, 2 Cd 3.31
I  0.5000  0.5000  0.0000  8 F 3.18-3.26, 2 Cd 3.31
F  0.0052  0.6250  0.8802  2 Cd 2.16
F  0.3750  0.2552  0.3802  2 Cd 2.16
F  0.7448  0.1250  0.1198  2 Cd 2.16
F  0.8750  0.9948  0.6198  2 Cd 2.16

Values from the calculation:
space group	No. 122
calculated total energy	-19.9302	eV per atom

---

[5]
Compound: Zr3SiAg
Source: Alexandria via LeMat-Bulk
Functional: SCAN
Structure: PBEsol geometry

abc: 4.8768 4.8768 4.8768
angles: 90.00 90.00 90.00
Closest atoms and distances in Å follow each position.
Positions (direct):
Zr  0.0000  0.0000  0.5000  2 Si 2.44
Zr  0.0000  0.5000  0.0000  2 Si 2.44
Zr  0.5000  0.0000  0.0000  2 Si 2.44
Si  0.0000  0.0000  0.0000  6 Zr 2.44
Ag  0.5000  0.5000  0.5000  12 Zr 3.45

Values from the calculation:
space group	No. 221
calculated total energy	-26.4832	eV per atom

---

[6]
Compound: KSc2Se
Source: Alexandria via LeMat-Bulk
Functional: SCAN
Structure: PBEsol geometry

abc: 3.4220 3.4220 10.0981
angles: 90.00 90.00 109.30
Closest atoms and distances in Å follow each position.
Positions (direct):
K  0.0000  0.0000  0.0000  4 K 3.42
Sc  0.5000  0.5000  0.3306  2 Se 2.62
Sc  0.5000  0.5000  0.6694  2 Se 2.62
Se  0.0000  0.0000  0.5000  4 Sc 2.62

Values from the calculation:
space group	No. 65
calculated total energy	-14.5942	eV per atom

---

[7]
Compound: NbMoPt3
Source: Alexandria via LeMat-Bulk
Functional: SCAN
Structure: PBEsol geometry

abc: 4.7615 4.7615 4.7615
angles: 90.00 90.00 90.00
Closest atoms and distances in Å follow each position.
Positions (direct):
Nb  0.0000  0.0000  0.0000  6 Pt 2.38
Mo  0.5000  0.5000  0.5000  12 Pt 3.37
Pt  0.0000  0.0000  0.5000  2 Nb 2.38
Pt  0.0000  0.5000  0.0000  2 Nb 2.38
Pt  0.5000  0.0000  0.0000  2 Nb 2.38

Values from the calculation:
space group	No. 221
ΔH_f (0 K)	1.253	eV/atom

---

[8]
Compound: NiRh3
Source: Alexandria via LeMat-Bulk
Functional: SCAN
Structure: PBEsol geometry

abc: 4.5408 4.5408 4.5229
angles: 100.10 100.10 33.97
Closest atoms and distances in Å follow each position.
Positions (direct):
Ni  0.0000  0.0000  0.0000  10 Rh 2.60-2.63, 2 Ni 2.65
Rh  0.2525  0.2525  0.7540  3 Ni 2.60-2.63, 9 Rh 2.60-2.65
Rh  0.5000  0.5000  0.5000  8 Rh 2.62-2.65, 4 Ni 2.62
Rh  0.7475  0.7475  0.2460  3 Ni 2.60-2.63, 9 Rh 2.60-2.65

Values from the calculation:
space group	No. 12
ΔH_f (0 K)	0.033	eV/atom

---

[9]
Compound: Rb2LiRuF6
Source: Alexandria via LeMat-Bulk
Functional: SCAN
Structure: PBEsol geometry

abc: 5.7981 5.7981 5.7981
angles: 60.00 60.00 60.00
Closest atoms and distances in Å follow each position.
Positions (direct):
Rb  0.2500  0.2500  0.2500  12 F 2.90
Rb  0.7500  0.7500  0.7500  12 F 2.90
Li  0.0000  0.0000  0.0000  6 F 2.10
Ru  0.5000  0.5000  0.5000  6 F 2.00
F  0.2556  0.2556  0.7444  1 Ru 2.00, 1 Li 2.10
F  0.2556  0.7444  0.2556  1 Ru 2.00, 1 Li 2.10
F  0.2556  0.7444  0.7444  1 Ru 2.00, 1 Li 2.10
F  0.7444  0.2556  0.2556  1 Ru 2.00, 1 Li 2.10
F  0.7444  0.2556  0.7444  1 Ru 2.00, 1 Li 2.10
F  0.7444  0.7444  0.2556  1 Ru 2.00, 1 Li 2.10

Values from the calculation:
space group	No. 225
calculated total energy	-12.6090	eV per atom

---

[10]
Compound: Be2AlFe
Source: Alexandria via LeMat-Bulk
Functional: SCAN
Structure: PBEsol geometry

abc: 4.3898 4.3898 4.3898
angles: 141.59 130.64 64.23
Closest atoms and distances in Å follow each position.
Positions (direct):
Be  0.2374  0.2374  0.0000  2 Fe 2.28, 4 Be 2.34, 4 Al 2.43-2.54
Be  0.7626  0.7626  0.0000  2 Fe 2.28, 4 Be 2.34, 4 Al 2.43-2.54
Al  0.5000  0.0000  0.5000  4 Fe 2.33, 8 Be 2.43-2.54
Fe  0.0000  0.5000  0.5000  4 Be 2.28, 4 Al 2.33

Values from the calculation:
space group	No. 71
ΔH_f (0 K)	-0.159	eV/atom

---

[11]
Compound: CsHfS2Cl
Source: Alexandria via LeMat-Bulk
Functional: SCAN
Structure: PBEsol geometry

abc: 5.3077 5.3077 5.6601
angles: 90.00 90.00 90.00
Closest atoms and distances in Å follow each position.
Positions (direct):
Cs  0.0000  0.0000  0.0000  4 S 2.65, 2 Cl 2.83
Hf  0.5000  0.5000  0.5000  4 Cl 3.75, 8 S 3.88
S  0.0000  0.5000  0.0000  2 Cs 2.65
S  0.5000  0.0000  0.0000  2 Cs 2.65
Cl  0.0000  0.0000  0.5000  2 Cs 2.83

Values from the calculation:
space group	No. 123
polymorph energy (0 for the lowest one)	2883	meV/atom

---

[12]
Compound: Co2TcP
Source: Alexandria via LeMat-Bulk
Functional: SCAN
Structure: PBEsol geometry

abc: 2.9721 3.8707 3.8766
angles: 90.00 90.00 90.00
Closest atoms and distances in Å follow each position.
Positions (direct):
Co  0.0000  0.0000  0.0000  4 P 2.44, 4 Co 2.44
Co  0.5000  0.0000  0.5000  4 Tc 2.44, 4 Co 2.44
Tc  0.0000  0.5000  0.5000  4 Co 2.44, 4 P 2.44
P  0.5000  0.5000  0.0000  4 Co 2.44, 4 Tc 2.44

Values from the calculation:
space group	No. 47
ΔH_f (0 K)	0.030	eV/atom

---

[13]
Compound: Tc3Ru
Source: Alexandria via LeMat-Bulk
Functional: SCAN
Structure: PBEsol geometry

abc: 5.4052 13.0575 4.6921
angles: 90.00 90.00 90.00
Closest atoms and distances in Å follow each position.
Positions (direct):
Tc  0.0015  0.0846  0.1642  8 Tc 2.66-2.72, 4 Ru 2.66-2.71
Tc  0.0015  0.4154  0.1642  8 Tc 2.66-2.72, 4 Ru 2.66-2.71
Tc  0.0007  0.7500  0.5030  8 Tc 2.66-2.73, 4 Ru 2.67-2.72
Tc  0.2500  0.2500  0.0013  8 Tc 2.66-2.73, 4 Ru 2.68-2.70
Tc  0.2500  0.5855  0.3329  8 Tc 2.66-2.72, 4 Ru 2.66-2.71
Tc  0.2500  0.9145  0.3329  8 Tc 2.66-2.72, 4 Ru 2.66-2.71
Tc  0.4985  0.0846  0.1642  8 Tc 2.66-2.72, 4 Ru 2.66-2.71
Tc  0.4985  0.4154  0.1642  8 Tc 2.66-2.72, 4 Ru 2.66-2.71
Tc  0.4993  0.7500  0.5030  8 Tc 2.66-2.73, 4 Ru 2.67-2.72
Tc  0.5007  0.2500  0.4970  8 Tc 2.66-2.73, 4 Ru 2.67-2.72
Tc  0.5015  0.5846  0.8358  8 Tc 2.66-2.72, 4 Ru 2.66-2.71
Tc  0.5015  0.9154  0.8358  8 Tc 2.66-2.72, 4 Ru 2.66-2.71
Tc  0.7500  0.0855  0.6671  8 Tc 2.66-2.72, 4 Ru 2.66-2.71
Tc  0.7500  0.4145  0.6671  8 Tc 2.66-2.72, 4 Ru 2.66-2.71
Tc  0.7500  0.7500  0.9987  8 Tc 2.66-2.73, 4 Ru 2.68-2.70
Tc  0.9993  0.2500  0.4970  8 Tc 2.66-2.73, 4 Ru 2.67-2.72
Tc  0.9985  0.5846  0.8358  8 Tc 2.66-2.72, 4 Ru 2.66-2.71
Tc  0.9985  0.9154  0.8358  8 Tc 2.66-2.72, 4 Ru 2.66-2.71
Ru  0.2500  0.0842  0.6664  12 Tc 2.67-2.71
Ru  0.2500  0.4158  0.6664  12 Tc 2.67-2.71
Ru  0.2500  0.7500  0.9989  12 Tc 2.66-2.72
Ru  0.7500  0.2500  0.0011  12 Tc 2.66-2.72
Ru  0.7500  0.5842  0.3336  12 Tc 2.67-2.71
Ru  0.7500  0.9158  0.3336  12 Tc 2.67-2.71

Values from the calculation:
space group	No. 59
polymorph energy (0 for the lowest one)	62	meV/atom
ΔH_f (0 K)	0.005	eV/atom

---

[14]
Compound: Be2ZnCu2
Source: Alexandria via LeMat-Bulk
Functional: SCAN
Structure: PBEsol geometry

abc: 6.2799 6.2799 2.6151
angles: 90.00 90.00 90.00
Closest atoms and distances in Å follow each position.
Positions (direct):
Be  0.1273  0.3727  0.0000  1 Be 2.26, 6 Cu 2.26, 2 Zn 2.47
Be  0.3727  0.8727  0.0000  1 Be 2.26, 6 Cu 2.26, 2 Zn 2.47
Be  0.6273  0.1273  0.0000  1 Be 2.26, 6 Cu 2.26, 2 Zn 2.47
Be  0.8727  0.6273  0.0000  1 Be 2.26, 6 Cu 2.26, 2 Zn 2.47
Zn  0.0000  0.0000  0.0000  4 Be 2.47, 2 Zn 2.62, 8 Cu 2.69
Zn  0.5000  0.5000  0.0000  4 Be 2.47, 2 Zn 2.62, 8 Cu 2.69
Cu  0.1648  0.6648  0.5000  6 Be 2.26
Cu  0.3352  0.1648  0.5000  6 Be 2.26
Cu  0.6648  0.8352  0.5000  6 Be 2.26
Cu  0.8352  0.3352  0.5000  6 Be 2.26

Values from the calculation:
space group	No. 127
ΔH_f (0 K)	-0.137	eV/atom

---

[15]
Compound: MgMnAl4
Source: Alexandria via LeMat-Bulk
Functional: SCAN
Structure: PBEsol geometry

abc: 5.2027 5.2027 5.2027
angles: 60.00 60.00 60.00
Closest atoms and distances in Å follow each position.
Positions (direct):
Mg  0.0000  0.0000  0.0000  12 Al 3.05, 4 Mn 3.19
Mn  0.7500  0.7500  0.7500  12 Al 3.05, 4 Mg 3.19
Al  0.3751  0.3751  0.3751  6 Al 2.60
Al  0.3751  0.3751  0.8746  6 Al 2.60
Al  0.3751  0.8746  0.3751  6 Al 2.60
Al  0.8746  0.3751  0.3751  6 Al 2.60

Values from the calculation:
space group	No. 216
ΔH_f (0 K)	0.009	eV/atom

---

[16]
Compound: SrTaSi
Source: Alexandria via LeMat-Bulk
Functional: SCAN
Structure: PBEsol geometry

abc: 4.6903 4.6903 4.6903
angles: 60.00 60.00 60.00
Closest atoms and distances in Å follow each position.
Positions (direct):
Sr  0.0000  0.0000  0.0000  4 Ta 2.87
Ta  0.7500  0.7500  0.7500  4 Sr 2.87, 4 Si 2.87
Si  0.5000  0.5000  0.5000  4 Ta 2.87

Values from the calculation:
space group	No. 216
calculated total energy	-31.9004	eV per atom

---

[17]
Compound: GaBrNF2
Source: Alexandria via LeMat-Bulk
Functional: SCAN
Structure: PBEsol geometry

abc: 4.7040 4.7040 3.6430
angles: 90.00 90.00 90.00
Closest atoms and distances in Å follow each position.
Positions (direct):
Ga  0.0000  0.0000  0.0000  8 F 2.97, 4 N 3.33
Br  0.5000  0.5000  0.5000  2 N 1.82
N  0.5000  0.5000  0.0000  2 Br 1.82
F  0.0000  0.5000  0.5000  2 Br 2.35
F  0.5000  0.0000  0.5000  2 Br 2.35

Values from the calculation:
space group	No. 123
calculated total energy	-10.1850	eV per atom

---

[18]
Compound: TcAgMo2
Source: Alexandria via LeMat-Bulk
Functional: SCAN
Structure: PBEsol geometry

abc: 3.2541 3.2541 5.8367
angles: 90.00 90.00 90.00
Closest atoms and distances in Å follow each position.
Positions (direct):
Tc  0.0000  0.0000  0.0000  5 Mo 2.61-2.62, 4 Ag 2.81
Ag  0.5000  0.5000  0.2771  6 Mo 2.81-2.96, 4 Tc 2.81
Mo  0.0000  0.0000  0.5529  1 Tc 2.61, 4 Mo 2.67, 4 Ag 2.81
Mo  0.5000  0.5000  0.7844  4 Tc 2.62, 4 Mo 2.67, 1 Ag 2.88

Values from the calculation:
space group	No. 99
polymorph energy (0 for the lowest one)	0	meV/atom
ΔH_f (0 K)	0.411	eV/atom

---

[19]
Compound: ZrTaGa2Sb
Source: Alexandria via LeMat-Bulk
Functional: SCAN
Structure: PBEsol geometry

abc: 4.8328 4.8328 5.1957
angles: 90.00 90.00 90.00
Closest atoms and distances in Å follow each position.
Positions (direct):
Zr  0.0000  0.0000  0.0000  4 Sb 3.42, 8 Ga 3.55
Ta  0.5000  0.5000  0.5000  4 Ga 2.42, 2 Sb 2.60
Ga  0.0000  0.5000  0.5000  2 Ta 2.42
Ga  0.5000  0.0000  0.5000  2 Ta 2.42
Sb  0.5000  0.5000  0.0000  2 Ta 2.60

Values from the calculation:
space group	No. 123
calculated total energy	-32.9108	eV per atom

---

[20]
Compound: Ca2ScSb
Source: Alexandria via LeMat-Bulk
Functional: SCAN
Structure: PBEsol geometry

abc: 6.1496 6.1496 6.1496
angles: 136.38 136.38 63.39
Closest atoms and distances in Å follow each position.
Positions (direct):
Ca  0.0000  0.0000  0.0000  4 Sb 3.23, 4 Ca 3.47, 4 Sc 3.47
Ca  0.7500  0.2500  0.5000  4 Sc 3.23, 4 Sb 3.47, 4 Ca 3.47
Sc  0.2500  0.7500  0.5000  8 Ca 3.23-3.47, 4 Sb 3.47
Sb  0.5000  0.5000  0.0000  8 Ca 3.23-3.47, 4 Sc 3.47

Values from the calculation:
space group	No. 119
calculated total energy	-18.0797	eV per atom